[1]
# ZnNiRh | the Alexandria database | PBE-GGA | relaxed
data_ZnNiRh
_space_group_name_H-M_alt 'P 1'
_space_group_IT_number 1
_space_group_name_Hall 'P 1'
_cell_length_a 4.638
_cell_length_b 4.638
_cell_length_c 5.256
_cell_angle_alpha 108.81
_cell_angle_beta 108.81
_cell_angle_gamma 47.45
loop_
_atom_site_label
_atom_site_type_symbol
_atom_site_fract_x
_atom_site_fract_y
_atom_site_fract_z
Zn1 Zn 0.164 0.164 0.084
Zn2 Zn 0.836 0.836 0.916
Ni1 Ni 0.499 0.499 0.750
Ni2 Ni 0.501 0.501 0.250
Rh1 Rh 0.163 0.163 0.583
Rh2 Rh 0.837 0.837 0.417
# SG   C2/m
# Distance to the lowest polymorph of the same formula   1.3 kJ per mole of atoms

---

[2]
# PrSc5In6 | the Alexandria database | PBE-GGA | relaxed
data_PrSc5In6
_space_group_name_H-M_alt 'P 1'
_space_group_IT_number 1
_space_group_name_Hall 'P 1'
_cell_length_a 8.567
_cell_length_b 8.567
_cell_length_c 8.567
_cell_angle_alpha 148.45
_cell_angle_beta 118.59
_cell_angle_gamma 70.68
loop_
_atom_site_label
_atom_site_type_symbol
_atom_site_fract_x
_atom_site_fract_y
_atom_site_fract_z
Pr1 Pr 0.000 0.000 0.000
Sc1 Sc 0.168 0.668 0.500
Sc2 Sc 0.330 0.330 0.000
Sc3 Sc 0.500 0.000 0.500
Sc4 Sc 0.670 0.670 0.000
Sc5 Sc 0.832 0.332 0.500
In1 In 0.085 0.829 0.256
In2 In 0.262 0.500 0.762
In3 In 0.426 0.171 0.256
In4 In 0.574 0.829 0.744
In5 In 0.738 0.500 0.238
In6 In 0.915 0.171 0.744
# SG   Immm
# Total energy   -0.3544 Ry/atom

---

[3]
# ZnFeS2Cl | the Alexandria database | PBE-GGA | relaxed
data_ZnFeS2Cl
_space_group_name_H-M_alt 'P 1'
_space_group_IT_number 1
_space_group_name_Hall 'P 1'
_cell_length_a 4.380
_cell_length_b 4.380
_cell_length_c 4.808
_cell_angle_alpha 90.00
_cell_angle_beta 90.00
_cell_angle_gamma 90.00
loop_
_atom_site_label
_atom_site_type_symbol
_atom_site_fract_x
_atom_site_fract_y
_atom_site_fract_z
Zn1 Zn 0.000 0.000 0.000
Fe1 Fe 0.500 0.500 0.500
S1 S 0.000 0.500 0.500
S2 S 0.500 0.000 0.500
Cl1 Cl 0.500 0.500 0.000
# SG   P4/mmm
# Energy relative to the elements, uncorrected   0.1363 eV/atom
# Distance to the lowest polymorph of the same formula   0.0 kJ per mole of atoms

---

[4]
# BaCe2S4 | the Alexandria database | PBE-GGA | relaxed
data_BaCe2S4
_space_group_name_H-M_alt 'P 1'
_space_group_IT_number 1
_space_group_name_Hall 'P 1'
_cell_length_a 7.689
_cell_length_b 7.689
_cell_length_c 7.689
_cell_angle_alpha 109.43
_cell_angle_beta 109.43
_cell_angle_gamma 109.55
loop_
_atom_site_label
_atom_site_type_symbol
_atom_site_fract_x
_atom_site_fract_y
_atom_site_fract_z
Ba1 Ba 0.000 0.000 0.000
Ba2 Ba 0.750 0.250 0.500
Ce1 Ce 0.257 0.125 0.632
Ce2 Ce 0.375 0.743 0.868
Ce3 Ce 0.493 0.625 0.368
Ce4 Ce 0.875 0.507 0.132
S1 S 0.143 0.399 0.408
S2 S 0.149 0.393 0.908
S3 S 0.265 0.857 0.256
S4 S 0.485 0.241 0.092
S5 S 0.601 0.009 0.744
S6 S 0.607 0.515 0.756
S7 S 0.759 0.851 0.244
S8 S 0.991 0.735 0.592
# SG   I-42d
# Energy relative to the elements, uncorrected   -1.9793 eV/atom
# Distance to the lowest polymorph of the same formula   4.2 kJ per mole of atoms

---

[5]
# HfAu2O | the Alexandria database | PBE-GGA | relaxed
data_HfAu2O
_space_group_name_H-M_alt 'P 1'
_space_group_IT_number 1
_space_group_name_Hall 'P 1'
_cell_length_a 5.801
_cell_length_b 5.801
_cell_length_c 5.801
_cell_angle_alpha 100.16
_cell_angle_beta 100.16
_cell_angle_gamma 130.32
loop_
_atom_site_label
_atom_site_type_symbol
_atom_site_fract_x
_atom_site_fract_y
_atom_site_fract_z
Hf1 Hf 0.000 0.000 0.000
Hf2 Hf 0.750 0.250 0.500
Au1 Au 0.168 0.625 0.043
Au2 Au 0.375 0.418 0.543
Au3 Au 0.582 0.125 0.957
Au4 Au 0.875 0.832 0.457
O1 O 0.250 0.750 0.500
O2 O 0.500 0.500 0.000
# SG   I-42d
# Energy relative to the elements, uncorrected   -0.5251 eV/atom

---

[6]
# LiCaPmPb | the Alexandria database | PBE-GGA | relaxed
data_LiCaPmPb
_space_group_name_H-M_alt 'P 1'
_space_group_IT_number 1
_space_group_name_Hall 'P 1'
_cell_length_a 5.433
_cell_length_b 5.433
_cell_length_c 5.433
_cell_angle_alpha 60.00
_cell_angle_beta 60.00
_cell_angle_gamma 60.00
loop_
_atom_site_label
_atom_site_type_symbol
_atom_site_fract_x
_atom_site_fract_y
_atom_site_fract_z
Li1 Li 0.000 0.000 0.000
Ca1 Ca 0.250 0.250 0.250
Pm1 Pm 0.750 0.750 0.750
Pb1 Pb 0.500 0.500 0.500
# SG   F-43m
# Total energy   -0.2519 Ry/atom